A plane-wave DFT calculation with GGA-PBE was carried out for a relaxed structure of Sb4I2O5.

Cell lengths 7.1892, 5.2855, 13.8871 Å; angles 90.00, 95.78, 90.00 degrees
With the nearest neighbours (Å) after each atom.
Space group P2_1/c (No. 14)
Symmetry-distinct sites (fractional):
Sb 0.1603 0.2222 0.0499 x4  2 O 1.95-2.10
Sb 0.1800 0.6066 0.2951 x4  3 O 2.02-2.12
I 0.4922 0.2090 0.3797 x4  3 Sb 3.21-3.59, 1 O 3.51
O 0.0000 0.0000 0.5000 x2  2 Sb 1.95
O 0.0648 0.0068 0.9182 x4  3 Sb 2.06-2.20
O 0.0671 0.1728 0.7092 x4  2 Sb 2.02-2.12

## Properties
- ΔE_f (raw) (eV per formula unit) = -12.194

***

A plane-wave DFT calculation with GGA-PBE was carried out for a relaxed structure of SbIO.

Cell lengths 3.7810, 3.7810, 6.6680 Å; angles 90.00, 90.00, 120.00 degrees
With the nearest neighbours (Å) after each atom.
Space group P3m1 (No. 156)
Symmetry-distinct sites (fractional):
Sb 0.0000 0.0000 0.0000 x1  3 O 2.28
I 0.6667 0.3333 0.6618 x1  3 Sb 3.14
O 0.3333 0.6667 0.0980 x1  3 Sb 2.28

## Properties
- ΔE_f (raw) (eV per formula unit) = -1.732

***

A plane-wave DFT calculation with GGA-PBE was carried out for a relaxed structure of Sb5IO7.

Cell lengths 11.8283, 13.2244, 6.9090 Å; angles 90.00, 90.00, 90.00 degrees
With the nearest neighbours (Å) after each atom.
Space group Pnn2 (No. 34)
Symmetry-distinct sites (fractional):
Sb 0.0071 0.2425 0.0000 x4  3 O 1.98-2.10
Sb 0.1550 0.2210 0.5391 x4  3 O 1.98-2.12
Sb 0.1679 0.5475 0.8388 x4  3 O 1.99-2.04
Sb 0.1847 0.9333 0.8487 x4  3 O 2.01-2.04
Sb 0.1887 0.7536 0.4929 x4  3 O 1.99-2.09
I 0.0000 0.0000 0.2643 x2  8 Sb 3.69-4.01, 8 O 3.70-3.99
I 0.0000 0.5000 0.4074 x2  6 O 3.61-3.91, 4 Sb 3.64-3.85
O 0.0268 0.6284 0.8658 x4  2 Sb 1.98-1.99
O 0.0473 0.8469 0.7813 x4  2 Sb 2.02-2.04
O 0.1592 0.2358 0.8444 x4  3 Sb 2.09-2.12
O 0.2180 0.8212 0.0406 x4  2 Sb 2.00-2.03
O 0.2370 0.3714 0.1198 x4  2 Sb 1.99-2.01
O 0.2423 0.6044 0.0794 x4  2 Sb 1.98-2.03
O 0.2488 0.6628 0.6986 x4  2 Sb 1.99-2.04

## Properties
- ΔE_f (raw) (eV per formula unit) = -15.966
- energy above the most stable polymorph in this dataset (eV per formula unit) = 0.02